[1]
A plane-wave DFT calculation with GGA-PBE was carried out for InAsBr2F after structural relaxation.

The crystal system is tetragonal. Its polymorph energy (0 for the lowest one) is 404 meV per atom. As for the formation energy without anion corrections: 0.05 eV per atom. As for the density of states at the Fermi level: 7.05 states/eV per cell. The value obtained for the uncorrected energy is -2.47 eV/atom.

It has space group P4/mmm (No. 123), with a = 5.354 Å, b = 5.354 Å, c = 5.570 Å, α = 90.00°, β = 90.00° and γ = 90.00°. Symmetry generates all atoms from In at (0.000, 0.000, 0.000), As at (0.000, 0.000, 0.500), Br at (0.000, 0.500, 0.000) and F at (0.500, 0.500, 0.500).

=====

[2]
A plane-wave DFT calculation with GGA-PBE was carried out for ZnCrPSe2 after structural relaxation.

The crystal system is tetragonal. As for the formation energy without anion corrections: 0.67 eV per atom. As for the density of states at the Fermi level: 4.25 states/eV per cell. The value obtained for the uncorrected energy is -3.99 eV/atom.

It has space group P4/mmm (No. 123), with a = 4.695 Å, b = 4.695 Å, c = 4.846 Å, α = 90.00°, β = 90.00° and γ = 90.00°. Symmetry generates all atoms from Zn at (0.000, 0.000, 0.000), Cr at (0.000, 0.000, 0.500), P at (0.500, 0.500, 0.000) and Se at (0.000, 0.500, 0.500).

=====

[3]
A plane-wave DFT calculation with GGA-PBE was carried out for Y6SnAu5 after structural relaxation.

The crystal system is monoclinic. As for the density of states at the Fermi level: 7.09 states/eV per cell. The calculation puts the energy of formation from the pure elements at -0.83 eV/atom. The value obtained for the uncorrected energy is -5.76 eV/atom.

It has space group P2/m (No. 10), with a = 5.129 Å, b = 7.307 Å, c = 8.124 Å, α = 90.00°, β = 108.47° and γ = 90.00°. Symmetry generates all atoms from Y at (0.000, 0.241, 0.000), Y at (0.330, 0.246, 0.660), Sn at (0.500, 0.500, 0.000), Au at (0.161, 0.500, 0.324), Au at (0.166, 0.000, 0.334) and Au at (0.500, 0.000, 0.000).